# 1
The following is a PBE calculation of an optimized crystal structure of Mn3VRh12, from Alexandria via LeMat-Bulk.

Values from the calculation:
E_form, eV per atom: -0.193

The structure in CIF format:
```
data_Mn3VRh12
_cell_length_a 3.811
_cell_length_b 3.811
_cell_length_c 15.231
_cell_angle_alpha 90.00
_cell_angle_beta 90.00
_cell_angle_gamma 90.00
_symmetry_space_group_name_H-M 'P 4/m m m'
_symmetry_Int_Tables_number 123
_symmetry_space_group_name_Hall '-P 4 2'
loop_
_atom_site_label
_atom_site_type_symbol
_atom_site_fract_x
_atom_site_fract_y
_atom_site_fract_z
Mn1 Mn 0.000 0.000 0.000
Mn2 Mn 0.000 0.000 0.248
V1 V 0.000 0.000 0.500
Rh1 Rh 0.000 0.500 0.124
Rh2 Rh 0.000 0.500 0.377
Rh3 Rh 0.500 0.500 0.000
Rh4 Rh 0.500 0.500 0.250
Rh5 Rh 0.500 0.500 0.500
```

---

# 2
The following is a PBE calculation of an optimized crystal structure of Ac2CoBr, from Alexandria via LeMat-Bulk.

Values from the calculation:
ΔE_f (raw), eV per atom: -0.738

The structure in CIF format:
```
data_Ac2CoBr
_cell_length_a 4.2035
_cell_length_b 4.2035
_cell_length_c 25.0575
_cell_angle_alpha 90.00
_cell_angle_beta 90.00
_cell_angle_gamma 120.00
_symmetry_space_group_name_H-M 'R 3 m'
_symmetry_Int_Tables_number 160
_symmetry_space_group_name_Hall 'R 3 -2"'
loop_
_atom_site_label
_atom_site_type_symbol
_atom_site_fract_x
_atom_site_fract_y
_atom_site_fract_z
Ac1 Ac 0.0000 0.0000 0.0000
Ac2 Ac 0.0000 0.0000 0.2069
Co1 Co 0.0000 0.0000 0.6042
Br1 Br 0.0000 0.0000 0.4348
```

---

# 3
The following is a PBE calculation of an optimized crystal structure of UMnGaTc, from Alexandria via LeMat-Bulk.

Values from the calculation:
E_form, eV per atom: -0.051

The structure in CIF format:
```
data_UMnGaTc
_cell_length_a 6.376
_cell_length_b 6.376
_cell_length_c 6.376
_cell_angle_alpha 90.00
_cell_angle_beta 90.00
_cell_angle_gamma 90.00
_symmetry_space_group_name_H-M 'F -4 3 m'
_symmetry_Int_Tables_number 216
_symmetry_space_group_name_Hall 'F -4 2 3'
loop_
_atom_site_label
_atom_site_type_symbol
_atom_site_fract_x
_atom_site_fract_y
_atom_site_fract_z
U1 U 0.000 0.000 0.000
Mn1 Mn 0.250 0.250 0.750
Ga1 Ga 0.000 0.000 0.500
Tc1 Tc 0.250 0.250 0.250
```

---

# 4
The following is a PBE calculation of an optimized crystal structure of GaOsPt3, from Alexandria via LeMat-Bulk.

Values from the calculation:
E_form, eV per atom: 1.138

The structure in CIF format:
```
data_GaOsPt3
_cell_length_a 4.863
_cell_length_b 4.863
_cell_length_c 4.863
_cell_angle_alpha 90.00
_cell_angle_beta 90.00
_cell_angle_gamma 90.00
_symmetry_space_group_name_H-M 'P m -3 m'
_symmetry_Int_Tables_number 221
_symmetry_space_group_name_Hall '-P 4 2 3'
loop_
_atom_site_label
_atom_site_type_symbol
_atom_site_fract_x
_atom_site_fract_y
_atom_site_fract_z
Ga1 Ga 0.000 0.000 0.000
Os1 Os 0.500 0.500 0.500
Pt1 Pt 0.000 0.500 0.500
```

---

no.,calculated total energy (eV/f.u.)
1,-127.93
2,-19.95
3,-34.06
4,-26.69